# 1
VCd3Ga | PBE | optimized geometry

It has space group Pm-3m (No. 221), with a = 5.322 Å, b = 5.322 Å, c = 5.322 Å, α = 90.00°, β = 90.00° and γ = 90.00°. The asymmetric unit holds V at (0.000, 0.000, 0.000), Cd at (0.000, 0.000, 0.500) and Ga at (0.500, 0.500, 0.500).

As for the energy above the most stable polymorph in this dataset: 0 meV/atom. The calculation puts the final energy at -0.16379 Ry/atom. The magnetization comes out at 0.805 μB per atom. As for the volume: 30.14 Å³ per atom. The energy relative to the elements is 0.75 eV/atom.

***

# 2
VCd2Ga2 | PBE | optimized geometry

It has space group P4/mbm (No. 127), with a = 7.077 Å, b = 7.077 Å, c = 3.903 Å, α = 90.00°, β = 90.00° and γ = 90.00°. The asymmetric unit holds V at (0.000, 0.000, 0.000), Cd at (0.169, 0.331, 0.500) and Ga at (0.136, 0.636, 0.000).

The calculation puts the final energy at -0.23067 Ry/atom. The magnetization comes out at 0.559 μB per atom. As for the volume: 19.55 Å³ per atom. The energy relative to the elements is 0.26 eV/atom.

***

# 3
V2CdGa | PBE | optimized geometry

It has space group I-42d (No. 122), with a = 7.123 Å, b = 7.123 Å, c = 5.315 Å, α = 90.00°, β = 90.00° and γ = 90.00°. The asymmetric unit holds V at (0.234, 0.750, 0.125), Cd at (0.000, 0.000, 0.500) and Ga at (0.000, 0.000, 0.000).

The calculation puts the final energy at -0.36750 Ry/atom. The magnetization comes out at 0.000 μB per atom. As for the volume: 16.85 Å³ per atom. The energy relative to the elements is 0.54 eV/atom.

***

# 4
Cd2GaW | PBE | optimized geometry

It has space group I-42d (No. 122), with a = 7.603 Å, b = 7.603 Å, c = 5.420 Å, α = 90.00°, β = 90.00° and γ = 90.00°. The asymmetric unit holds Cd at (0.234, 0.750, 0.125), Ga at (0.000, 0.000, 0.000) and W at (0.000, 0.000, 0.500).

The calculation puts the final energy at -0.26747 Ry/atom. The magnetization comes out at 0.001 μB per atom. As for the volume: 19.58 Å³ per atom. The energy relative to the elements is 0.81 eV/atom.

***

# 5
CdGaW2 | PBE | optimized geometry

It has space group Fm-3m (No. 225), with a = 6.416 Å, b = 6.416 Å, c = 6.416 Å, α = 90.00°, β = 90.00° and γ = 90.00°. The asymmetric unit holds Cd at (0.000, 0.000, 0.000), Ga at (0.000, 0.000, 0.500) and W at (0.250, 0.250, 0.250).

As for the energy above the most stable polymorph in this dataset: 56 meV/atom. The calculation puts the final energy at -0.48637 Ry/atom. The magnetization comes out at 0.000 μB per atom. As for the volume: 16.50 Å³ per atom. The energy relative to the elements is 0.84 eV/atom.

***

# 6
CdGaW3 | PBE | optimized geometry

It has space group Pm-3m (No. 221), with a = 4.625 Å, b = 4.625 Å, c = 4.625 Å, α = 90.00°, β = 90.00° and γ = 90.00°. The asymmetric unit holds Cd at (0.000, 0.000, 0.000), Ga at (0.500, 0.500, 0.500) and W at (0.000, 0.500, 0.500).

As for the energy above the most stable polymorph in this dataset: 0 meV/atom. The calculation puts the final energy at -0.49552 Ry/atom. The magnetization comes out at 0.000 μB per atom. As for the volume: 19.78 Å³ per atom. The energy relative to the elements is 1.82 eV/atom.

***

# 7
CdGaW2 | PBE | optimized geometry

It has space group I-42d (No. 122), with a = 3.833 Å, b = 3.833 Å, c = 19.893 Å, α = 90.00°, β = 90.00° and γ = 90.00°. The asymmetric unit holds Cd at (0.000, 0.000, 0.000), Ga at (0.000, 0.000, 0.500) and W at (0.233, 0.250, 0.625).

As for the energy above the most stable polymorph in this dataset: 0 meV/atom. The calculation puts the final energy at -0.49051 Ry/atom. The magnetization comes out at 0.000 μB per atom. As for the volume: 18.27 Å³ per atom. The energy relative to the elements is 0.79 eV/atom.

***

# 8
CdGaW3 | PBE | optimized geometry

It has space group Pm-3m (No. 221), with a = 4.848 Å, b = 4.848 Å, c = 4.848 Å, α = 90.00°, β = 90.00° and γ = 90.00°. The asymmetric unit holds Cd at (0.000, 0.000, 0.000), Ga at (0.500, 0.500, 0.500) and W at (0.000, 0.000, 0.500).

As for the energy above the most stable polymorph in this dataset: 1171 meV/atom. The calculation puts the final energy at -0.40946 Ry/atom. The magnetization comes out at 0.032 μB per atom. As for the volume: 22.79 Å³ per atom. The energy relative to the elements is 2.99 eV/atom.